Density functional theory data (GGA-PBE) for Li12Cd7Rh after structural relaxation.

Values from the calculation:
The density of states at the Fermi level comes out at 0.4866 states/eV/atom. As for the space group: R-3 (148). Its energy of formation is -0.17 eV/atom.

Lattice parameters (Å, degrees): 7.2216 7.2216 7.2216 100.68 100.68 100.68
Last column: nearest neighbours and their distance in Å.
Sites, in units of the cell vectors:
1 Li 0.9998 0.2429 0.7569  1 Rh 2.70, 4 Li 2.70-2.79, 4 Cd 2.81-2.85
2 Li 0.7571 0.2431 0.0002  1 Rh 2.70, 4 Li 2.70-2.79, 4 Cd 2.81-2.85
3 Li 0.6024 0.1680 0.6038  5 Li 2.61-2.91, 1 Cd 2.82
4 Li 0.8320 0.3962 0.3976  5 Li 2.61-2.91, 1 Cd 2.82
5 Li 0.2431 0.0002 0.7571  1 Rh 2.70, 4 Li 2.70-2.79, 4 Cd 2.81-2.85
6 Li 0.3962 0.3976 0.8320  5 Li 2.61-2.91, 1 Cd 2.82
7 Li 0.6038 0.6024 0.1680  5 Li 2.61-2.91, 1 Cd 2.82
8 Li 0.7569 0.9998 0.2429  1 Rh 2.70, 4 Li 2.70-2.79, 4 Cd 2.81-2.85
9 Li 0.1680 0.6038 0.6024  5 Li 2.61-2.91, 1 Cd 2.82
10 Li 0.3976 0.8320 0.3962  5 Li 2.61-2.91, 1 Cd 2.82
11 Li 0.2429 0.7569 0.9998  1 Rh 2.70, 4 Li 2.70-2.79, 4 Cd 2.81-2.85
12 Li 0.0002 0.7571 0.2431  1 Rh 2.70, 4 Li 2.70-2.79, 4 Cd 2.81-2.85
13 Cd 0.8498 0.5786 0.8495  4 Li 2.81-2.85, 1 Rh 2.96, 3 Cd 3.01-3.11
14 Cd 0.4214 0.1505 0.1502  4 Li 2.81-2.85, 1 Rh 2.96, 3 Cd 3.01-3.11
15 Cd 0.1505 0.1502 0.4214  4 Li 2.81-2.85, 1 Rh 2.96, 3 Cd 3.01-3.11
16 Cd 0.5000 0.5000 0.5000  6 Li 2.82, 6 Cd 3.11
17 Cd 0.8495 0.8498 0.5786  4 Li 2.81-2.85, 1 Rh 2.96, 3 Cd 3.01-3.11
18 Cd 0.5786 0.8495 0.8498  4 Li 2.81-2.85, 1 Rh 2.96, 3 Cd 3.01-3.11
19 Cd 0.1502 0.4214 0.1505  4 Li 2.81-2.85, 1 Rh 2.96, 3 Cd 3.01-3.11
20 Rh 0.0000 0.0000 0.0000  6 Li 2.70, 6 Cd 2.96

***

Density functional theory data (GGA-PBE) for LiTbDyCu after structural relaxation.

Values from the calculation:
The density of states at the Fermi level comes out at 0.9961 states/eV/atom. As for the space group: F-43m (216). Its energy of formation is -0.03 eV/atom.

Lattice parameters (Å, degrees): 5.0315 5.0315 5.0315 60.00 60.00 60.00
Last column: nearest neighbours and their distance in Å.
Sites, in units of the cell vectors:
1 Li 0.7500 0.7500 0.7500  4 Dy 3.08, 4 Tb 3.08
2 Tb 0.0000 0.0000 0.0000  4 Li 3.08, 4 Cu 3.08
3 Cu 0.2500 0.2500 0.2500  4 Tb 3.08, 4 Dy 3.08
4 Dy 0.5000 0.5000 0.5000  4 Li 3.08, 4 Cu 3.08

***

Density functional theory data (GGA-PBE) for Ac6InRh2 after structural relaxation.

Values from the calculation:
The density of states at the Fermi level comes out at 0.8798 states/eV/atom. As for the space group: Immm (71). The energy above the lowest structure with this stoichiometry is 0.000 eV/atom. Its energy of formation is -0.45 eV/atom.

Lattice parameters (Å, degrees): 9.3207 9.3207 9.3207 105.02 109.73 113.77
Last column: nearest neighbours and their distance in Å.
Sites, in units of the cell vectors:
1 Ac 0.5280 0.7036 0.8244  3 Rh 3.20-3.44, 1 In 3.56
2 Ac 0.4720 0.2964 0.1756  3 Rh 3.20-3.44, 1 In 3.56
3 Ac 0.1208 0.2964 0.8244  3 Rh 3.20-3.44, 1 In 3.56
4 Ac 0.8792 0.7036 0.1756  3 Rh 3.20-3.44, 1 In 3.56
5 Ac 0.8021 0.7685 0.5706  1 Rh 2.98
6 Ac 0.1979 0.2315 0.4294  1 Rh 2.98
7 Ac 0.1979 0.7685 0.9664  1 Rh 2.98
8 Ac 0.8021 0.2315 0.0336  1 Rh 2.98
9 Ac 0.6869 0.3538 0.6668  3 Rh 2.94-3.25
10 Ac 0.3131 0.6462 0.3332  3 Rh 2.94-3.25
11 Ac 0.3131 0.9799 0.6668  3 Rh 2.94-3.25
12 Ac 0.6869 0.0201 0.3332  3 Rh 2.94-3.25
13 In 0.0000 0.5000 0.5000  12 Ac 3.71-4.05
14 In 0.0000 0.0000 0.0000  8 Ac 3.38-3.56, 2 Rh 3.53
15 Rh 0.5000 0.3644 0.8644  6 Ac 2.94-3.20, 1 Rh 3.08
16 Rh 0.5000 0.6356 0.1356  6 Ac 2.94-3.20, 1 Rh 3.08
17 Rh 0.6711 0.0000 0.6711  6 Ac 2.98-3.25
18 Rh 0.3289 0.0000 0.3289  6 Ac 2.98-3.25

***

Density functional theory data (GGA-PBE) for Na2BiH after structural relaxation.

Values from the calculation:
The density of states at the Fermi level comes out at 0.1915 states/eV/atom. As for the space group: P4/mmm (123). The energy above the lowest structure with this stoichiometry is 0.081 eV/atom.

Lattice parameters (Å, degrees): 3.2942 3.2942 8.0898 90.00 90.00 90.00
Last column: nearest neighbours and their distance in Å.
Sites, in units of the cell vectors:
1 Na 0.0000 0.0000 0.8138  4 H 2.77, 1 Na 3.01
2 Na 0.0000 0.0000 0.1862  4 H 2.77, 1 Na 3.01
3 Bi 0.5000 0.5000 0.5000  4 Bi 3.29, 8 Na 3.45
4 H 0.5000 0.5000 0.0000  8 Na 2.77

***

Density functional theory data (GGA-PBE) for InBi2PbO6 after structural relaxation.

Values from the calculation:
The density of states at the Fermi level comes out at 0.4842 states/eV/atom. As for the space group: R3 (146). The formation energy without anion corrections is -1175 meV per atom.

Lattice parameters (Å, degrees): 6.0349 6.0341 6.1807 60.78 60.77 59.99
Last column: nearest neighbours and their distance in Å.
Sites, in units of the cell vectors:
1 In 0.8098 0.8098 0.5706  6 O 2.18-2.29
2 Bi 0.5202 0.5202 0.4393  6 O 2.32-2.49
3 Bi 0.0233 0.0232 0.9303  6 O 2.31-2.55
4 Pb 0.3032 0.3031 0.0905  6 O 2.32-2.49
5 O 0.6397 0.1751 0.2530  1 In 2.29, 2 Bi 2.31-2.49, 1 Pb 2.32
6 O 0.1751 0.9322 0.2528  1 In 2.29, 2 Bi 2.31-2.49, 1 Pb 2.32
7 O 0.9322 0.6398 0.2529  1 In 2.29, 2 Bi 2.31-2.49, 1 Pb 2.32
8 O 0.4625 0.6829 0.7420  1 In 2.18, 1 Bi 2.32
9 O 0.6829 0.1127 0.7419  1 In 2.18, 1 Bi 2.32
10 O 0.1127 0.4626 0.7419  1 In 2.18, 1 Bi 2.32

***

Density functional theory data (GGA-PBE) for V4PtRh after structural relaxation.

Values from the calculation:
The density of states at the Fermi level comes out at 0.9509 states/eV/atom. As for the space group: F-43m (216). Its energy of formation is -0.27 eV/atom.

Lattice parameters (Å, degrees): 4.8718 4.8718 4.8718 60.00 60.00 60.00
Last column: nearest neighbours and their distance in Å.
Sites, in units of the cell vectors:
1 Rh 0.0000 0.0000 0.0000  12 V 2.86, 4 Pt 2.98
2 Pt 0.2500 0.2500 0.2500  12 V 2.86, 4 Rh 2.98
3 V 0.6253 0.6253 0.1241  6 V 2.43-2.44
4 V 0.6253 0.1241 0.6253  6 V 2.43-2.44
5 V 0.6253 0.6253 0.6253  6 V 2.43-2.44
6 V 0.1241 0.6253 0.6253  6 V 2.43-2.44